# 1
An optimized crystal structure of SmCdSnHg. Source: Alexandria via LeMat-Bulk, functional PBE.

## Properties
energy relative to the lowest polymorph listed for this composition: 0 meV per atom
D(E_F): 0.39 states/eV per atom
formation energy: -1.82 eV/f.u.
total moment: 0.0 μB/f.u.
volume: 100.4 Å³/cell

Unit cell a=4.4596 b=4.6028 c=4.8892 alpha=90.00 beta=90.00 gamma=90.00
With the nearest neighbours (Å) after each atom.
Fractional coordinates of all 4 atoms:
Sm: 0.0000 0.0000 0.0000  4 Sn 3.20, 4 Hg 3.31, 4 Cd 3.36
Cd: 0.0000 0.5000 0.5000  4 Hg 3.20, 4 Sn 3.31, 4 Sm 3.36
Sn: 0.5000 0.5000 0.0000  4 Sm 3.20, 4 Cd 3.31, 4 Hg 3.36
Hg: 0.5000 0.0000 0.5000  4 Cd 3.20, 4 Sm 3.31, 4 Sn 3.36

***

# 2
An optimized crystal structure of SmCdSnHg. Source: Alexandria via LeMat-Bulk, functional PBE.

## Properties
energy relative to the lowest polymorph listed for this composition: 153 meV per atom
D(E_F): 0.77 states/eV per atom
formation energy: -1.21 eV/f.u.
total moment: 0.0 μB/f.u.
volume: 102.9 Å³/cell

Unit cell a=5.2605 b=5.2605 c=5.2605 alpha=60.00 beta=60.00 gamma=60.00
With the nearest neighbours (Å) after each atom.
Fractional coordinates of all 4 atoms:
Sm: 0.0000 0.0000 0.0000  4 Hg 3.22, 4 Sn 3.22
Cd: 0.5000 0.5000 0.5000  4 Hg 3.22, 4 Sn 3.22
Sn: 0.2500 0.2500 0.2500  4 Cd 3.22, 4 Sm 3.22
Hg: 0.7500 0.7500 0.7500  4 Cd 3.22, 4 Sm 3.22

***

Which of these has the highest formation energy?
number 2

***

Which of these has the highest volume?
number 2

***

What is the formation energy in the second record?
-1.21 eV/f.u.